1.
{
  "formula": "ScVPd2Ru",
  "functional": "GGA-PBE",
  "state": "relaxed",
  "sg": "P4/mmm, No. 123",
  "e_form_mev_per_atom": 563,
  "density_g_cm3": 6.56,
  "n_ef_per_ev_cell": 5.8,
  "lattice_angstrom": [[4.9293, 0.0000, 0.0000], [0.0000, 4.2717, 0.0000], [0.0000, 0.0000, 4.9293]],
  "species": ["Sc", "V", "Pd", "Pd", "Ru"],
  "frac_coords": [[0.5000, 0.5000, 0.5000], [0.0000, 0.5000, 0.0000], [0.5000, 0.0000, 0.0000], [0.0000, 0.0000, 0.5000], [0.0000, 0.0000, 0.0000]]
}

***

2.
{
  "formula": "MnMoCl2",
  "functional": "GGA-PBE",
  "state": "relaxed",
  "sg": "I-4m2, No. 119",
  "density_g_cm3": 5.15,
  "n_ef_per_ev_cell": 3.1,
  "raw_formation_energy_ev_per_atom": 0.514,
  "e_above_lowest_polymorph_ev_per_atom": 0.8179,
  "lattice_angstrom": [[5.8972, 0.0717, 0.0000], [3.5500, 4.7096, 0.0000], [-4.7236, -2.3906, 2.5990]],
  "species": ["Cl", "Cl", "Mn", "Mo"],
  "frac_coords": [[0.2500, 0.7500, 0.5000], [0.0000, 0.0000, 0.0000], [0.5000, 0.5000, 0.0000], [0.7500, 0.2500, 0.5000]]
}

***

3.
{
  "formula": "Cs3La2CeS6",
  "functional": "GGA-PBE",
  "state": "relaxed",
  "sg": "C2/m, No. 12",
  "density_g_cm3": 4.27,
  "n_ef_per_ev_cell": 4.6,
  "raw_formation_energy_ev_per_atom": -1.841,
  "lattice_angstrom": [[-1.7836, -6.5868, 3.1073], [7.0644, 2.4956, 0.2971], [-3.3668, 5.0853, 5.8349]],
  "species": ["La", "La", "S", "S", "S", "S", "S", "S", "Ce", "Cs", "Cs", "Cs"],
  "frac_coords": [[0.6666, 0.3334, 0.0000], [0.3334, 0.6666, 0.0000], [0.3916, 0.0619, 0.1858], [0.9381, 0.6084, 0.8142], [0.6084, 0.9381, 0.8142], [0.7323, 0.7323, 0.1860], [0.2677, 0.2677, 0.8140], [0.0619, 0.3916, 0.1858], [0.0000, 0.0000, 0.0000], [0.5000, 0.5000, 0.5000], [0.8330, 0.1670, 0.5000], [0.1670, 0.8330, 0.5000]]
}

***

4.
{
  "formula": "Pr2NdTmBi5",
  "functional": "GGA-PBE",
  "state": "relaxed",
  "sg": "P4/mmm, No. 123",
  "e_form_mev_per_atom": -28,
  "density_g_cm3": 7.32,
  "n_ef_per_ev_cell": 6.0,
  "lattice_angstrom": [[-5.5528, -0.3987, -0.4726], [-0.0360, -4.0547, 3.8437], [-1.3170, 8.1568, 8.5922]],
  "species": ["Bi", "Bi", "Bi", "Bi", "Bi", "Tm", "Pr", "Pr", "Nd"],
  "frac_coords": [[0.0000, 0.0000, 0.7582], [0.0000, 0.5000, 0.5000], [0.0000, 0.0000, 0.2418], [0.5000, 0.0000, 0.5000], [0.5000, 0.5000, 0.0000], [0.0000, 0.0000, 0.0000], [0.5000, 0.5000, 0.2778], [0.5000, 0.5000, 0.7222], [0.0000, 0.0000, 0.5000]]
}

***

5.
{
  "formula": "NdPu5Sb6",
  "functional": "GGA-PBE",
  "state": "relaxed",
  "sg": "C2/m, No. 12",
  "density_g_cm3": 9.35,
  "n_ef_per_ev_cell": 67.8,
  "raw_formation_energy_ev_per_atom": -0.676,
  "lattice_angstrom": [[-7.0254, 2.0199, 2.4141], [-3.8154, -6.2548, 2.3302], [0.4606, -2.2713, 7.3409]],
  "species": ["Sb", "Sb", "Sb", "Sb", "Sb", "Sb", "Pu", "Pu", "Pu", "Pu", "Pu", "Nd"],
  "frac_coords": [[0.2508, 0.2546, 0.0000], [0.7492, 0.7454, 0.0000], [0.2530, 0.9159, 0.6613], [0.2530, 0.5772, 0.3387], [0.7470, 0.4228, 0.6613], [0.7470, 0.0841, 0.3387], [0.5000, 0.5000, 0.0000], [0.5000, 0.8358, 0.3285], [0.0000, 0.6670, 0.6660], [0.0000, 0.3330, 0.3340], [0.5000, 0.1642, 0.6715], [0.0000, 0.0000, 0.0000]]
}

***

6.
{
  "formula": "Al2Hg",
  "functional": "GGA-PBE",
  "state": "relaxed",
  "sg": "Fd-3m, No. 227",
  "e_form_mev_per_atom": 226,
  "density_g_cm3": 6.88,
  "n_ef_per_ev_cell": 2.8,
  "e_above_lowest_polymorph_ev_per_atom": 0.1183,
  "lattice_angstrom": [[2.3154, 1.3450, 4.8951], [-3.1202, 2.2637, 4.0338], [-1.2239, -2.9562, 4.5711]],
  "species": ["Al", "Al", "Al", "Al", "Hg", "Hg"],
  "frac_coords": [[0.1250, 0.6250, 0.1250], [0.6250, 0.1250, 0.1250], [0.1250, 0.1250, 0.1250], [0.1250, 0.1250, 0.6250], [0.5000, 0.5000, 0.5000], [0.7500, 0.7500, 0.7500]]
}

***

7.
{
  "formula": "Mn2FeRe",
  "functional": "GGA-PBE",
  "state": "relaxed",
  "sg": "Cmcm, No. 63",
  "e_form_mev_per_atom": 67,
  "density_g_cm3": 12.40,
  "n_ef_per_ev_cell": 8.7,
  "lattice_angstrom": [[2.5819, 0.0000, 0.0000], [-1.2909, 4.6678, 0.0000], [0.0000, 0.0000, 7.8220]],
  "species": ["Re", "Re", "Fe", "Fe", "Mn", "Mn", "Mn", "Mn"],
  "frac_coords": [[0.0237, 0.0474, 0.7500], [0.9763, 0.9526, 0.2500], [0.7567, 0.5134, 0.7500], [0.2433, 0.4866, 0.2500], [0.3609, 0.7217, 0.9815], [0.6391, 0.2783, 0.4815], [0.3609, 0.7217, 0.5185], [0.6391, 0.2783, 0.0185]]
}

***

8.
{
  "formula": "AcTbPm4",
  "functional": "GGA-PBE",
  "state": "relaxed",
  "sg": "C2/c, No. 15",
  "e_form_mev_per_atom": 178,
  "density_g_cm3": 7.39,
  "n_ef_per_ev_cell": 19.9,
  "e_above_lowest_polymorph_ev_per_atom": 0.1493,
  "lattice_angstrom": [[-3.6501, 5.1269, 6.9268], [-2.4764, -4.3764, -3.3236], [6.1669, -7.2221, 4.9016]],
  "species": ["Pm", "Pm", "Pm", "Pm", "Pm", "Pm", "Pm", "Pm", "Tb", "Tb", "Ac", "Ac"],
  "frac_coords": [[0.5457, 0.2956, 0.5809], [0.1287, 0.3789, 0.7709], [0.0352, 0.7853, 0.5809], [0.4543, 0.7044, 0.4191], [0.6422, 0.8920, 0.7709], [0.8713, 0.6211, 0.2291], [0.3578, 0.1080, 0.2291], [0.9648, 0.2147, 0.4191], [0.0501, 0.3001, 0.1002], [0.9499, 0.6999, 0.8998], [0.4464, 0.1964, 0.8928], [0.5536, 0.8036, 0.1072]]
}

***

| no. | E (eV per cell) |
| --- | --- |
| 1 | -32.3 |
| 2 | -21.6 |
| 3 | -65.2 |
| 4 | -38.5 |
| 5 | -109.3 |
| 6 | -14.2 |
| 7 | -78.0 |
| 8 | -53.3 |